Record 1
DFT (GGA-PBE) results for a relaxed Tb3PmNd7 crystal.

POSCAR file:
```
Tb3PmNd7
1.0
5.924 -5.124 0.000
5.924 5.124 0.000
-0.664 0.000 6.438
Tb Pm Nd
3 1 7
Cartesian
0.000 0.000 0.000
5.592 3.387 3.219
5.592 -3.387 3.219
5.924 0.000 0.000
2.795 1.791 1.542
2.321 0.000 4.590
2.795 -1.791 1.542
5.592 0.000 3.219
8.389 1.791 4.896
8.863 0.000 1.848
8.389 -1.791 4.896
```

Properties
Uncorrected energy in eV for the cell shown: -49.57
Polymorph energy (0 for the lowest one) in meV per atom: 4
SG: No. 12
Calculated formation energy in eV per atom: 0.223

=====

Record 2
DFT (GGA-PBE) results for a relaxed TbPm2Nd8 crystal.

POSCAR file:
```
TbPm2Nd8
1.0
4.612 -8.345 0.000
4.612 8.345 0.000
-3.334 0.000 5.036
Tb Pm Nd
1 2 8
Cartesian
0.000 0.000 0.000
2.945 3.196 2.518
2.945 -3.196 2.518
-0.275 1.949 3.418
4.612 4.919 0.000
-0.275 -1.949 3.418
3.211 0.000 1.026
2.679 0.000 4.010
6.165 1.949 1.619
4.612 -4.919 0.000
6.165 -1.949 1.619
```

Properties
Uncorrected energy in eV for the cell shown: -50.76
Polymorph energy (0 for the lowest one) in meV per atom: 125
SG: No. 12
Calculated formation energy in eV per atom: 0.138

=====

Record 3
DFT (GGA-PBE) results for a relaxed Tb5Pm4Nd2 crystal.

POSCAR file:
```
Tb5Pm4Nd2
1.0
12.092 -1.743 0.000
12.092 1.743 0.000
-1.024 0.000 8.801
Tb Pm Nd
5 4 2
Cartesian
0.000 0.000 0.000
6.299 0.000 1.517
7.757 0.000 7.774
15.402 0.000 1.027
16.860 0.000 7.284
3.842 0.000 4.140
10.324 0.000 5.643
12.835 0.000 3.158
19.316 0.000 4.661
9.640 0.000 2.301
13.519 0.000 6.500
```

Properties
Uncorrected energy in eV for the cell shown: -50.14
Polymorph energy (0 for the lowest one) in meV per atom: 19
SG: No. 12
Calculated formation energy in eV per atom: 0.141

=====

Record 4
DFT (GGA-PBE) results for a relaxed TbPmNd5 crystal.

POSCAR file:
```
TbPmNd5
1.0
6.045 -3.481 0.000
6.045 3.481 0.000
-4.544 0.000 11.624
Tb Pm Nd
2 2 10
Cartesian
2.637 3.301 8.718
4.909 -3.301 2.906
3.022 1.741 0.000
0.751 -1.741 5.812
-0.013 0.920 8.733
2.842 1.633 5.804
6.976 1.633 0.008
2.259 -0.920 2.920
4.909 0.575 2.906
2.637 -0.575 8.718
5.287 0.920 8.704
0.570 -1.633 11.616
4.704 -1.633 5.821
7.559 -0.920 2.892
```

Properties
Uncorrected energy in eV for the cell shown: -64.20
SG: No. 15
Calculated formation energy in eV per atom: 0.160

=====

Record 5
DFT (GGA-PBE) results for a relaxed Tb2Pm4Nd5 crystal.

POSCAR file:
```
Tb2Pm4Nd5
1.0
9.017 0.000 0.000
0.000 3.556 0.000
-0.906 0.000 11.878
Tb Pm Nd
2 4 5
Cartesian
0.376 0.000 1.606
7.736 0.000 10.272
1.045 1.778 4.665
1.750 1.778 11.292
6.361 1.778 0.585
7.066 1.778 7.213
1.166 0.000 7.941
3.656 0.000 2.467
4.056 0.000 5.939
4.455 0.000 9.411
6.945 0.000 3.937
```

Properties
Uncorrected energy in eV for the cell shown: -51.14
Polymorph energy (0 for the lowest one) in meV per atom: 0
SG: No. 10
Calculated formation energy in eV per atom: 0.087

=====

Record 6
DFT (GGA-PBE) results for a relaxed TbPm3Nd crystal.

POSCAR file:
```
TbPm3Nd
1.0
9.449 -1.818 0.000
9.449 1.818 0.000
-2.802 0.000 9.910
Tb Pm Nd
2 6 2
Cartesian
2.803 0.000 3.491
13.292 0.000 6.419
-0.701 0.000 2.488
16.797 0.000 7.422
1.415 0.000 8.407
6.277 0.000 4.470
9.819 0.000 5.440
14.680 0.000 1.503
4.891 0.000 9.396
11.205 0.000 0.514
```

Properties
Uncorrected energy in eV for the cell shown: -47.16
Polymorph energy (0 for the lowest one) in meV per atom: 0
SG: No. 12
Calculated formation energy in eV per atom: 0.014

=====

Record 7
DFT (GGA-PBE) results for a relaxed Tb3Pm2Nd5 crystal.

POSCAR file:
```
Tb3Pm2Nd5
1.0
-4.747 11.080 3.452
4.747 -11.080 3.452
4.747 11.080 -3.452
Tb Pm Nd
6 4 10
Cartesian
2.349 2.659 0.000
0.000 0.000 1.726
2.349 -2.659 3.452
2.399 13.740 0.000
0.000 0.000 5.178
2.399 8.421 3.452
3.827 -8.391 3.452
3.827 8.391 0.000
0.920 2.689 3.452
0.920 19.471 0.000
4.747 5.602 -1.726
5.654 2.819 0.000
4.747 0.000 1.726
0.907 8.262 0.000
0.000 5.479 1.726
4.747 5.602 1.726
3.841 2.819 3.452
0.000 11.080 1.726
-0.907 8.262 3.452
0.000 5.479 5.178
```

Properties
Uncorrected energy in eV for the cell shown: -87.26
Polymorph energy (0 for the lowest one) in meV per atom: 179
SG: No. 72
Calculated formation energy in eV per atom: 0.360

=====

Record 8
DFT (GGA-PBE) results for a relaxed Tb3Pm6Nd crystal.

POSCAR file:
```
Tb3Pm6Nd
1.0
5.517 -9.645 0.000
5.517 9.645 0.000
0.000 0.000 6.366
Tb Pm Nd
6 12 2
Cartesian
5.517 7.409 3.183
3.598 2.235 5.576
3.598 -2.235 2.393
7.435 2.235 5.576
7.435 -2.235 2.393
5.517 -7.409 0.000
2.602 4.025 1.829
1.857 0.788 2.951
1.857 -0.788 6.134
5.517 5.407 0.380
2.602 -4.025 5.012
5.517 0.704 1.815
5.517 -0.704 4.999
8.431 4.025 1.829
5.517 -5.407 3.563
9.176 0.788 2.951
9.176 -0.788 6.134
8.431 -4.025 5.012
5.517 3.739 3.335
5.517 -3.739 0.152
```

Properties
Uncorrected energy in eV for the cell shown: -91.49
Polymorph energy (0 for the lowest one) in meV per atom: 18
SG: No. 36
Calculated formation energy in eV per atom: 0.141

=====

Record 9
DFT (GGA-PBE) results for a relaxed Tb7Pm3Nd crystal.

POSCAR file:
```
Tb7Pm3Nd
1.0
7.118 0.000 0.000
-3.559 6.164 0.000
0.000 0.000 8.721
Tb Pm Nd
7 3 1
Cartesian
0.000 0.000 0.000
0.000 2.042 2.834
-1.790 5.143 2.834
3.559 0.008 8.689
1.787 3.078 8.689
1.790 5.143 2.834
5.331 3.078 8.689
1.776 1.025 5.775
5.342 1.025 5.775
3.559 4.114 5.775
3.559 2.055 2.815
```

Properties
Uncorrected energy in eV for the cell shown: -49.46
Polymorph energy (0 for the lowest one) in meV per atom: 42
SG: No. 156
Calculated formation energy in eV per atom: 0.179

=====

Record 10
DFT (GGA-PBE) results for a relaxed Tb2Pm8Nd3 crystal.

POSCAR file:
```
Tb2Pm8Nd3
1.0
10.262 -3.871 0.000
10.262 3.871 0.000
-0.002 0.000 5.793
Tb Pm Nd
2 8 3
Cartesian
4.957 0.000 2.892
15.564 0.000 2.901
2.773 0.000 5.791
8.052 1.612 2.896
6.696 0.000 5.790
12.469 1.612 2.897
8.052 -1.612 2.896
13.825 0.000 0.003
12.469 -1.612 2.897
17.748 0.000 0.002
-0.001 0.000 2.897
10.262 1.635 0.000
10.262 -1.635 0.000
```

Properties
Uncorrected energy in eV for the cell shown: -58.74
Polymorph energy (0 for the lowest one) in meV per atom: 64
SG: No. 12
Calculated formation energy in eV per atom: 0.218

=====

Record 11
DFT (GGA-PBE) results for a relaxed Tb2Pm2Nd7 crystal.

POSCAR file:
```
Tb2Pm2Nd7
1.0
5.806 -5.802 0.000
5.806 5.802 0.000
-2.326 0.000 5.700
Tb Pm Nd
2 2 7
Cartesian
5.806 3.271 0.000
5.806 -3.271 0.000
3.270 0.000 3.987
6.017 0.000 1.713
-1.163 0.000 2.850
2.959 3.122 1.844
2.437 0.000 0.545
6.327 3.122 3.857
2.959 -3.122 1.844
6.849 0.000 5.155
6.327 -3.122 3.857
```

Properties
Uncorrected energy in eV for the cell shown: -50.64
Polymorph energy (0 for the lowest one) in meV per atom: 106
SG: No. 12
Calculated formation energy in eV per atom: 0.136

=====

Record 12
DFT (GGA-PBE) results for a relaxed Tb6Pm3Nd crystal.

POSCAR file:
```
Tb6Pm3Nd
1.0
4.980 2.875 3.902
-4.980 2.875 3.902
0.000 -5.750 3.902
Tb Pm Nd
6 3 1
Cartesian
-1.627 -2.932 3.902
-3.252 0.000 5.854
-1.725 2.875 3.902
1.626 -2.816 5.854
3.353 0.056 3.902
1.626 2.816 5.854
0.000 0.000 2.940
0.000 0.000 5.854
0.000 0.000 8.767
0.000 0.000 0.000
```

Properties
Uncorrected energy in eV for the cell shown: -44.06
Polymorph energy (0 for the lowest one) in meV per atom: 128
SG: No. 155
Calculated formation energy in eV per atom: 0.275